Entry 1:
The following is a DFT calculation (GGA-PBE) of a relaxed ZrAsPO crystal.

a = 3.4164 Å, b = 6.9549 Å, c = 7.9250 Å
α = 90.00°, β = 90.00°, γ = 90.00°
With the nearest neighbours (Å) after each atom.
Atoms (fractional coordinates):
As (0.5000, 0.8398, 0.5051)  2 P 2.36
As (0.5000, 0.1602, 0.0051)  2 P 2.36
O (0.5000, 0.6498, 0.9531)  2 Zr 1.98
O (0.5000, 0.3502, 0.4531)  2 Zr 1.98
P (0.0000, 0.9051, 0.3074)  2 As 2.36, 1 Zr 2.57
P (0.0000, 0.0949, 0.8074)  2 As 2.36, 1 Zr 2.57
Zr (0.0000, 0.2113, 0.4884)  2 O 1.98
Zr (0.0000, 0.7887, 0.9884)  2 O 1.98

Summary:
Energy relative to the lowest polymorph listed for this composition (meV per atom): 0
Symmetry: Pmc2_1

Entry 2:
The following is a DFT calculation (GGA-PBE) of a relaxed ZrAsPO crystal.

a = 5.0418 Å, b = 5.0418 Å, c = 4.7821 Å
α = 90.00°, β = 90.00°, γ = 90.00°
With the nearest neighbours (Å) after each atom.
Atoms (fractional coordinates):
O (0.5000, 0.5000, 0.0000)  2 Zr 2.39, 4 As 2.63
O (0.0000, 0.0000, 0.0000)  2 Zr 2.39, 4 As 2.63
Zr (0.5000, 0.5000, 0.5000)  2 O 2.39, 4 P 2.67
Zr (0.0000, 0.0000, 0.5000)  2 O 2.39, 4 P 2.67
P (0.5000, 0.0000, 0.3169)  2 As 2.28-2.50
P (0.0000, 0.5000, 0.6831)  2 As 2.28-2.50
As (0.5000, 0.0000, 0.8400)  2 P 2.28-2.50
As (0.0000, 0.5000, 0.1600)  2 P 2.28-2.50

Summary:
Energy relative to the lowest polymorph listed for this composition (meV per atom): 512
Symmetry: P4/nmm

Entry 3:
The following is a DFT calculation (GGA-PBE) of a relaxed PaAs2O crystal.

a = 4.2687 Å, b = 6.2482 Å, c = 6.7392 Å
α = 90.00°, β = 90.00°, γ = 90.00°
With the nearest neighbours (Å) after each atom.
Atoms (fractional coordinates):
Pa (0.0000, 0.3807, 0.9461)  2 O 2.09-2.15
Pa (0.0000, 0.6193, 0.4461)  2 O 2.09-2.15
O (0.0000, 0.6557, 0.7544)  2 Pa 2.09-2.15
O (0.0000, 0.3443, 0.2544)  2 Pa 2.09-2.15
As (0.5000, 0.9366, 0.4337)  2 As 2.60-2.62
As (0.5000, 0.0634, 0.9337)  2 As 2.60-2.62
As (0.5000, 0.3052, 0.6199)  2 As 2.60-2.62
As (0.5000, 0.6948, 0.1199)  2 As 2.60-2.62

Summary:
Energy relative to the lowest polymorph listed for this composition (meV per atom): 144
Symmetry: Pmc2_1

Entry 4:
The following is a DFT calculation (GGA-PBE) of a relaxed PaAs2O crystal.

a = 4.3979 Å, b = 4.3979 Å, c = 8.2716 Å
α = 90.00°, β = 90.00°, γ = 90.00°
With the nearest neighbours (Å) after each atom.
Atoms (fractional coordinates):
As (0.7500, 0.7500, 0.9590)  4 O 2.22
As (0.2500, 0.2500, 0.0410)  4 O 2.22
As (0.2500, 0.2500, 0.7316)  1 As 2.56
As (0.7500, 0.7500, 0.2684)  1 As 2.56
Pa (0.7500, 0.2500, 0.5000)  4 As 2.92, 4 Pa 3.11
Pa (0.2500, 0.7500, 0.5000)  4 As 2.92, 4 Pa 3.11
O (0.2500, 0.7500, 0.0000)  4 As 2.22
O (0.7500, 0.2500, 0.0000)  4 As 2.22

Summary:
Energy relative to the lowest polymorph listed for this composition (meV per atom): 1216
Symmetry: P4/nmm

Entry 5:
The following is a DFT calculation (GGA-PBE) of a relaxed Pa2As2O5 crystal.

a = 8.1377 Å, b = 4.1118 Å, c = 4.1118 Å
α = 90.00°, β = 90.00°, γ = 90.00°
With the nearest neighbours (Å) after each atom.
Atoms (fractional coordinates):
O (0.6765, 0.5000, 0.0000)  2 Pa 2.18
O (0.3235, 0.0000, 0.5000)  2 Pa 2.18
O (0.6765, 0.0000, 0.5000)  2 Pa 2.18
O (0.3235, 0.5000, 0.0000)  2 Pa 2.18
O (0.5000, 0.5000, 0.5000)  2 Pa 2.16
Pa (0.2345, 0.5000, 0.5000)  5 O 2.16-2.18
Pa (0.7655, 0.5000, 0.5000)  5 O 2.16-2.18
As (0.5000, 0.0000, 0.0000)  8 O 2.51
As (0.0000, 0.0000, 0.0000)  8 O 3.34, 8 Pa 3.48

Summary:
Energy relative to the lowest polymorph listed for this composition (meV per atom): 0
Symmetry: P4/mmm

Entry 6:
The following is a DFT calculation (GGA-PBE) of a relaxed Pa2As2O5 crystal.

a = 6.8548 Å, b = 4.1376 Å, c = 4.1376 Å
α = 90.00°, β = 90.00°, γ = 90.00°
With the nearest neighbours (Å) after each atom.
Atoms (fractional coordinates):
O (0.7361, 0.5000, 0.0000)  2 As 2.13
O (0.5000, 0.5000, 0.5000)  2 As 2.12
O (0.2640, 0.0000, 0.5000)  2 As 2.13
O (0.7361, 0.0000, 0.5000)  2 As 2.13
O (0.2640, 0.5000, 0.0000)  2 As 2.13
As (0.1908, 0.5000, 0.5000)  5 O 2.12-2.13
As (0.8092, 0.5000, 0.5000)  5 O 2.12-2.13
Pa (0.0000, 0.0000, 0.0000)  8 O 2.75
Pa (0.5000, 0.0000, 0.0000)  12 O 2.63-2.93

Summary:
Energy relative to the lowest polymorph listed for this composition (meV per atom): 436
Symmetry: P4/mmm

Entry 7:
The following is a DFT calculation (GGA-PBE) of a relaxed PaAs2O crystal.

a = 3.9225 Å, b = 3.9225 Å, c = 9.9703 Å
α = 90.00°, β = 90.00°, γ = 90.00°
With the nearest neighbours (Å) after each atom.
Atoms (fractional coordinates):
As (0.0000, 0.5000, 0.7305)  4 As 3.02, 4 Pa 3.07, 4 O 3.33
As (0.5000, 0.5000, 0.5000)  8 As 2.77-3.02
As (0.0000, 0.0000, 0.5000)  8 As 2.77-3.02
As (0.5000, 0.0000, 0.2695)  4 As 3.02, 4 Pa 3.07, 4 O 3.33
Pa (0.5000, 0.0000, 0.8621)  4 O 2.39-2.40
Pa (0.0000, 0.5000, 0.1379)  4 O 2.39-2.40
O (0.5000, 0.5000, 0.0000)  4 Pa 2.39-2.40
O (0.0000, 0.0000, 0.0000)  4 Pa 2.39-2.40

Summary:
Energy relative to the lowest polymorph listed for this composition (meV per atom): 0
Symmetry: P4/nmm

Entry 8:
The following is a DFT calculation (GGA-PBE) of a relaxed PaAs2O crystal.

a = 3.7874 Å, b = 6.8743 Å, c = 6.5167 Å
α = 90.00°, β = 90.00°, γ = 90.00°
With the nearest neighbours (Å) after each atom.
Atoms (fractional coordinates):
As (0.5000, 0.7482, 0.8653)  2 As 2.51
As (0.0000, 0.0797, 0.5423)  2 As 2.51
As (0.0000, 0.9203, 0.0423)  2 As 2.51
As (0.5000, 0.2518, 0.3653)  2 As 2.51
Pa (0.5000, 0.7396, 0.3825)  2 O 2.16
Pa (0.5000, 0.2604, 0.8825)  2 O 2.16
O (0.0000, 0.6095, 0.4639)  2 Pa 2.16
O (0.0000, 0.3905, 0.9639)  2 Pa 2.16

Summary:
Energy relative to the lowest polymorph listed for this composition (meV per atom): 6
Symmetry: Pmc2_1

Entry 9:
The following is a DFT calculation (GGA-PBE) of a relaxed PaAsPbO crystal.

a = 4.1236 Å, b = 4.1236 Å, c = 10.4190 Å
α = 90.00°, β = 90.00°, γ = 90.00°
With the nearest neighbours (Å) after each atom.
Atoms (fractional coordinates):
Pa (0.2500, 0.2500, 0.1227)  4 O 2.43
Pa (0.7500, 0.7500, 0.8773)  4 O 2.43
Pb (0.2500, 0.7500, 0.5000)  4 Pb 2.92
Pb (0.7500, 0.2500, 0.5000)  4 Pb 2.92
As (0.7500, 0.7500, 0.2505)  4 Pa 3.21, 4 Pb 3.32, 4 O 3.33
As (0.2500, 0.2500, 0.7495)  4 Pa 3.21, 4 Pb 3.32, 4 O 3.33
O (0.2500, 0.7500, 0.0000)  4 Pa 2.43
O (0.7500, 0.2500, 0.0000)  4 Pa 2.43

Summary:
Energy relative to the lowest polymorph listed for this composition (meV per atom): 0
Symmetry: P4/nmm

Entry 10:
The following is a DFT calculation (GGA-PBE) of a relaxed PaAsPbO crystal.

a = 4.4333 Å, b = 4.4333 Å, c = 9.2988 Å
α = 90.00°, β = 90.00°, γ = 90.00°
With the nearest neighbours (Å) after each atom.
Atoms (fractional coordinates):
As (0.0000, 0.5000, 0.2978)  4 Pa 2.91
As (0.5000, 0.0000, 0.7022)  4 Pa 2.91
Pb (0.5000, 0.0000, 0.1090)  4 O 2.44
Pb (0.0000, 0.5000, 0.8910)  4 O 2.44
Pa (0.5000, 0.5000, 0.5000)  4 As 2.91, 4 Pa 3.13
Pa (0.0000, 0.0000, 0.5000)  4 As 2.91, 4 Pa 3.13
O (0.5000, 0.5000, 0.0000)  4 Pb 2.44
O (0.0000, 0.0000, 0.0000)  4 Pb 2.44

Summary:
Energy relative to the lowest polymorph listed for this composition (meV per atom): 936
Symmetry: P4/nmm

Entry 11:
The following is a DFT calculation (GGA-PBE) of a relaxed PaAsPbO crystal.

a = 4.1522 Å, b = 4.1522 Å, c = 10.1605 Å
α = 90.00°, β = 90.00°, γ = 90.00°
With the nearest neighbours (Å) after each atom.
Atoms (fractional coordinates):
Pb (0.0000, 0.0000, 0.5000)  4 Pb 2.94, 4 As 3.28
Pb (0.5000, 0.5000, 0.5000)  4 Pb 2.94, 4 As 3.28
As (0.5000, 0.0000, 0.7496)  4 Pa 3.21, 4 Pb 3.28, 4 O 3.28
As (0.0000, 0.5000, 0.2504)  4 Pa 3.21, 4 Pb 3.28, 4 O 3.28
O (0.5000, 0.5000, 0.0000)  4 Pa 2.42
O (0.0000, 0.0000, 0.0000)  4 Pa 2.42
Pa (0.0000, 0.5000, 0.8770)  4 O 2.42
Pa (0.5000, 0.0000, 0.1230)  4 O 2.42

Summary:
Energy relative to the lowest polymorph listed for this composition (meV per atom): 3
Symmetry: P4/nmm

Entry 12:
The following is a DFT calculation (GGA-PBE) of a relaxed PaAsPdO crystal.

a = 4.3958 Å, b = 4.3958 Å, c = 7.3634 Å
α = 90.00°, β = 90.00°, γ = 90.00°
With the nearest neighbours (Å) after each atom.
Atoms (fractional coordinates):
As (0.5000, 0.0000, 0.7485)  1 Pd 2.44
As (0.0000, 0.5000, 0.2515)  1 Pd 2.44
Pd (0.0000, 0.5000, 0.9197)  4 O 2.28, 1 As 2.44
Pd (0.5000, 0.0000, 0.0803)  4 O 2.28, 1 As 2.44
Pa (0.5000, 0.5000, 0.5000)  4 As 2.86, 4 Pa 3.11
Pa (0.0000, 0.0000, 0.5000)  4 As 2.86, 4 Pa 3.11
O (0.5000, 0.5000, 0.0000)  4 Pd 2.28
O (0.0000, 0.0000, 0.0000)  4 Pd 2.28

Summary:
Energy relative to the lowest polymorph listed for this composition (meV per atom): 1728
Symmetry: P4/nmm

- What is the energy relative to the lowest polymorph listed for this composition in the tenth record?
  936 meV per atom

- Look up the energy relative to the lowest polymorph listed for this composition of the first one.
  0 meV per atom